Density functional theory data (PBE-GGA) for a geometry-optimized Rb2YInF6 structure.

abc: 6.634 6.844 9.444
angles: 90.00 89.61 90.00
Sites, in units of the cell vectors:
Rb (0.013, 0.956, 0.253)
Rb (0.513, 0.544, 0.753)
Rb (0.987, 0.044, 0.747)
Rb (0.487, 0.456, 0.247)
Y (0.500, 0.000, 0.500)
Y (0.000, 0.500, 0.000)
In (0.500, 0.000, 0.000)
In (0.000, 0.500, 0.500)
F (0.269, 0.680, 0.041)
F (0.769, 0.820, 0.541)
F (0.731, 0.320, 0.959)
F (0.231, 0.180, 0.459)
F (0.327, 0.740, 0.437)
F (0.827, 0.760, 0.937)
F (0.673, 0.260, 0.563)
F (0.173, 0.240, 0.063)
F (0.902, 0.549, 0.221)
F (0.402, 0.951, 0.721)
F (0.098, 0.451, 0.779)
F (0.598, 0.049, 0.279)

Summary:
Raw total energy, eV/atom: -5.318
Offset from the most stable computed form, eV/f.u.: 0.00
Formation energy (no corrections), meV per atom: -3081.8
Total moment, μB per atom: 0.000
SG: P2_1/c, No. 14